P | A plane-wave DFT calculation with SCAN was carried out for a PBEsol-optimized structure of Sc2TaFe.

Lattice parameters (Å, degrees): 8.9488 8.9488 8.9488 19.42 19.42 19.42
Fractional positions:
Sc 0.2380 0.2380 0.2380
Sc 0.7620 0.7620 0.7620
Ta 0.0000 0.0000 0.0000
Fe 0.5000 0.5000 0.5000

***

Q | A plane-wave DFT calculation with SCAN was carried out for a PBEsol-optimized structure of Sc2TaFe.

Lattice parameters (Å, degrees): 5.5096 5.5096 5.5096 146.85 129.19 62.03
Fractional positions:
Sc 0.0000 0.0000 0.0000
Sc 0.7096 0.2096 0.5000
Ta 0.4160 0.4160 0.0000
Fe 0.2241 0.7241 0.5000

***

Energy comparison, zero being the most stable, in kJ/mol of atoms: P 27.0; Q 0.0.

***

P | A plane-wave DFT calculation with SCAN was carried out for a PBEsol-optimized structure of Sc2TaFe.

Lattice parameters (Å, degrees): 4.8725 4.8725 2.9790 90.00 90.00 90.00
Fractional positions:
Sc 0.0000 0.5000 0.0000
Sc 0.5000 0.0000 0.0000
Ta 0.0000 0.0000 0.5000
Fe 0.5000 0.5000 0.5000

***

Q | A plane-wave DFT calculation with SCAN was carried out for a PBEsol-optimized structure of Sc2TaFe.

Lattice parameters (Å, degrees): 3.0585 3.0585 7.6740 90.00 90.00 90.00
Fractional positions:
Sc 0.0000 0.0000 0.0000
Sc 0.5000 0.5000 0.3450
Ta 0.0000 0.0000 0.6096
Fe 0.5000 0.5000 0.7927

***

Energy comparison, zero being the most stable, in kJ/mol of atoms: P 33.8; Q 0.0.

***

P | A plane-wave DFT calculation with SCAN was carried out for a PBEsol-optimized structure of ScFeTc.

Lattice parameters (Å, degrees): 4.0709 4.0709 4.0709 60.00 60.00 60.00
Fractional positions:
Sc 0.0000 0.0000 0.0000
Fe 0.7500 0.7500 0.7500
Tc 0.5000 0.5000 0.5000

***

Q | A plane-wave DFT calculation with SCAN was carried out for a PBEsol-optimized structure of ScFeTc.

Lattice parameters (Å, degrees): 4.1394 4.1394 2.9346 90.00 90.00 120.00
Fractional positions:
Sc 0.0000 0.0000 0.0000
Fe 0.6667 0.3333 0.5834
Tc 0.3333 0.6667 0.4162

***

Energy comparison, zero being the most stable, in kJ/mol of atoms: P 19.5; Q 0.0.

***

P | A plane-wave DFT calculation with SCAN was carried out for a PBEsol-optimized structure of ScFeW2.

Lattice parameters (Å, degrees): 2.7618 2.7618 8.0235 90.00 90.00 90.00
Fractional positions:
Sc 0.0000 0.0000 0.0000
Fe 0.0000 0.0000 0.5000
W 0.5000 0.5000 0.2912
W 0.5000 0.5000 0.7088

***

Q | A plane-wave DFT calculation with SCAN was carried out for a PBEsol-optimized structure of ScFeW2.

Lattice parameters (Å, degrees): 5.0644 5.0644 5.0644 143.88 126.46 66.29
Fractional positions:
Sc 0.0000 0.0000 0.0000
Fe 0.7483 0.2483 0.5000
W 0.2728 0.7728 0.5000
W 0.5190 0.5190 0.0000

***

R | A plane-wave DFT calculation with SCAN was carried out for a PBEsol-optimized structure of ScFeW2.

Lattice parameters (Å, degrees): 4.3877 4.3877 4.3877 60.00 60.00 60.00
Fractional positions:
Sc 0.0000 0.0000 0.0000
Fe 0.2500 0.2500 0.2500
W 0.5000 0.5000 0.5000
W 0.7500 0.7500 0.7500

***

Energy comparison, zero being the most stable, in kJ/mol of atoms: P 15.2; Q 8.5; R 0.0.